Record 1
The following is a DFT calculation (PBE) of an optimized crystal structure of Nd8Si3HBr4.

Lattice parameters (Å, degrees): 8.794 8.794 8.794 56.47 56.47 56.47
Sites, in units of the cell vectors:
Nd (0.238, 0.238, 0.238)
Nd (0.241, 0.733, 0.733)
Nd (0.267, 0.267, 0.759)
Nd (0.267, 0.759, 0.267)
Nd (0.733, 0.241, 0.733)
Nd (0.733, 0.733, 0.241)
Nd (0.759, 0.267, 0.267)
Nd (0.762, 0.762, 0.762)
Si (0.000, 0.000, 0.500)
Si (0.000, 0.500, 0.000)
Si (0.500, 0.000, 0.000)
H (0.500, 0.500, 0.500)
Br (0.000, 0.000, 0.000)
Br (0.000, 0.500, 0.500)
Br (0.500, 0.000, 0.500)
Br (0.500, 0.500, 0.000)

Values from the calculation:
For the total magnetic moment, the calculation gives 0.00 μB/cell. The calculation puts the electronic total energy at -0.3663 Ry per atom.

---

Record 2
The following is a DFT calculation (PBE) of an optimized crystal structure of Pm3GeIr3.

Lattice parameters (Å, degrees): 5.695 5.695 14.946 107.48 107.48 42.33
Sites, in units of the cell vectors:
Pm (0.015, 0.015, 0.380)
Pm (0.111, 0.111, 0.926)
Pm (0.241, 0.241, 0.220)
Pm (0.759, 0.759, 0.780)
Pm (0.889, 0.889, 0.074)
Pm (0.985, 0.985, 0.620)
Ge (0.270, 0.270, 0.612)
Ge (0.730, 0.730, 0.388)
Ir (0.346, 0.346, 0.464)
Ir (0.385, 0.385, 0.923)
Ir (0.467, 0.467, 0.767)
Ir (0.533, 0.533, 0.233)
Ir (0.615, 0.615, 0.077)
Ir (0.654, 0.654, 0.536)

Values from the calculation:
For the total magnetic moment, the calculation gives 0.00 μB/cell. The value obtained for the formation energy is -713 meV per atom. The calculation puts the electronic total energy at -0.5297 Ry per atom.

---

Record 3
The following is a DFT calculation (PBE) of an optimized crystal structure of LiLaTe2N.

Lattice parameters (Å, degrees): 6.574 6.574 3.994 90.00 90.00 90.00
Sites, in units of the cell vectors:
Li (0.000, 0.000, 0.000)
La (0.500, 0.500, 0.500)
Te (0.000, 0.500, 0.500)
Te (0.500, 0.000, 0.500)
N (0.500, 0.500, 0.000)

Values from the calculation:
For the total magnetic moment, the calculation gives 0.00 μB/cell. The value obtained for the energy relative to the elements, uncorrected is -88 meV per atom. The value obtained for the energy above the most stable polymorph in this dataset is 23.3 meV per atom. The calculation puts the electronic total energy at -0.3218 Ry per atom.

---

Record 4
The following is a DFT calculation (PBE) of an optimized crystal structure of AcMgP2Pt2.

Lattice parameters (Å, degrees): 4.161 4.161 7.879 90.00 90.00 120.00
Sites, in units of the cell vectors:
Ac (0.000, 0.000, 0.000)
Mg (0.000, 0.000, 0.500)
P (0.333, 0.667, 0.735)
P (0.667, 0.333, 0.265)
Pt (0.333, 0.667, 0.296)
Pt (0.667, 0.333, 0.704)

Values from the calculation:
For the total magnetic moment, the calculation gives 0.00 μB/cell. The value obtained for the formation energy is -1000 meV per atom. The calculation puts the electronic total energy at -0.4239 Ry per atom.

---

Record 5
The following is a DFT calculation (PBE) of an optimized crystal structure of MnAlRe.

Lattice parameters (Å, degrees): 8.077 3.875 5.773 90.00 90.00 90.00
Sites, in units of the cell vectors:
Mn (0.122, 0.250, 0.010)
Mn (0.378, 0.750, 0.510)
Mn (0.622, 0.250, 0.490)
Mn (0.878, 0.750, 0.990)
Al (0.093, 0.750, 0.322)
Al (0.407, 0.250, 0.822)
Al (0.593, 0.750, 0.178)
Al (0.907, 0.250, 0.678)
Re (0.153, 0.750, 0.779)
Re (0.347, 0.250, 0.279)
Re (0.653, 0.750, 0.721)
Re (0.847, 0.250, 0.221)

Values from the calculation:
For the total magnetic moment, the calculation gives 0.00 μB/cell. The value obtained for the formation energy is 152 meV per atom. The value obtained for the energy above the most stable polymorph in this dataset is 404.5 meV per atom. The calculation puts the electronic total energy at -0.6101 Ry per atom.

---

Record 6
The following is a DFT calculation (PBE) of an optimized crystal structure of NbIn3B.

Lattice parameters (Å, degrees): 5.417 5.417 5.417 90.00 90.00 90.00
Sites, in units of the cell vectors:
Nb (0.000, 0.000, 0.000)
In (0.000, 0.000, 0.500)
In (0.000, 0.500, 0.000)
In (0.500, 0.000, 0.000)
B (0.500, 0.500, 0.500)

Values from the calculation:
For the total magnetic moment, the calculation gives 0.00 μB/cell. The value obtained for the formation energy is 1497 meV per atom. The value obtained for the energy above the most stable polymorph in this dataset is 507.4 meV per atom. The calculation puts the electronic total energy at -0.2569 Ry per atom.